Er4CoSn: relaxed, GGA-PBE.

POSCAR file:
```
Er4CoSn
1.0
5.7674 0.1059 -1.2094
-2.1931 6.9821 -2.7088
0.1435 -0.2958 7.7967
Er Co Sn
8 2 2
direct
0.5540 0.2721 0.9460
0.9460 0.0540 0.7279
0.3699 0.7910 0.6399
0.0540 0.9460 0.2721
0.1301 0.3601 0.2090
0.6301 0.2090 0.3601
0.4460 0.7279 0.0540
0.8699 0.6399 0.7910
0.2500 0.0000 0.0000
0.7500 0.0000 0.0000
0.2500 0.3722 0.6278
0.7500 0.6278 0.3722
```

Values from the calculation:
M_tot   0.000 μB/atom
Calculated formation energy   -0.3812 eV/atom
Energy above the lowest structure with this stoichiometry   0.009 eV/atom
Calculated total energy   -5.275 eV per atom